Record 1
DFT (PBE) results for an optimized crystal structure of OsPtW2.

Values from the calculation:
E_tot (eV per atom): -10.663
Energy of formation from the pure elements (meV per atom): 131
Polymorph energy (0 for the lowest one) (meV per atom): 273.1
D(E_F) (states/eV per cell): 2.50
Crystal system: tetragonal

CIF file:
```
data_OsPtW2
_chemical_formula_sum 'Os1 Pt1 W2'
_cell_length_a 3.304
_cell_length_b 3.304
_cell_length_c 5.764
_cell_angle_alpha 90.00
_cell_angle_beta 90.00
_cell_angle_gamma 90.00
_space_group_name_H-M_alt 'P 1'
_space_group_IT_number 1
loop_
_space_group_symop_operation_xyz
'x,y,z'
loop_
_atom_site_label
_atom_site_fract_x
_atom_site_fract_y
_atom_site_fract_z
_atom_site_occupancy
W1 0.000 0.000 0.992 1
Os1 0.000 0.000 0.487 1
W2 0.500 0.500 0.264 1
Pt1 0.500 0.500 0.757 1
```

Record 2
DFT (PBE) results for an optimized crystal structure of Os2PtW2.

Values from the calculation:
E_tot (eV per atom): -10.764
Energy of formation from the pure elements (meV per atom): 117
D(E_F) (states/eV per cell): 4.41
Crystal system: tetragonal

CIF file:
```
data_Os2PtW2
_chemical_formula_sum 'Os4 Pt2 W4'
_cell_length_a 7.443
_cell_length_b 7.443
_cell_length_c 2.895
_cell_angle_alpha 90.00
_cell_angle_beta 90.00
_cell_angle_gamma 90.00
_space_group_name_H-M_alt 'P 1'
_space_group_IT_number 1
loop_
_space_group_symop_operation_xyz
'x,y,z'
loop_
_atom_site_label
_atom_site_fract_x
_atom_site_fract_y
_atom_site_fract_z
_atom_site_occupancy
Pt1 0.000 0.000 0.000 1
W1 0.336 0.164 0.500 1
W2 0.664 0.836 0.500 1
W3 0.164 0.664 0.500 1
Os1 0.133 0.367 0.000 1
Os2 0.633 0.133 0.000 1
W4 0.836 0.336 0.500 1
Os3 0.867 0.633 0.000 1
Pt2 0.500 0.500 0.000 1
Os4 0.367 0.867 0.000 1
```